1.
Density functional theory data (GGA-PBE) for a geometry-optimized Zn3Cu3Ni structure.

Computed properties:
Size of the total moment: 0.00 μB per cell
Energy above the most stable polymorph in this dataset: 0 meV per atom
Raw total energy: -3.138 eV per atom
Formation enthalpy at 0 K: -0.0106 eV/atom
Crystal system: orthorhombic
N(E_F): 0.3629 states/eV per atom

CIF file:
```
data_Zn3Cu3Ni
_chemical_formula_sum 'Zn12 Cu12 Ni4'
_symmetry_space_group_name_H-M 'C m m m'
_symmetry_Int_Tables_number 65
_symmetry_space_group_name_Hall '-C 2 2'
_cell_length_a 8.3935
_cell_length_b 8.4169
_cell_length_c 5.3259
_cell_angle_alpha 90.00
_cell_angle_beta 90.00
_cell_angle_gamma 90.00
loop_
_atom_site_label
_atom_site_type_symbol
_atom_site_fract_x
_atom_site_fract_y
_atom_site_fract_z
Zn1 Zn 0.0000 0.2349 0.0000
Zn2 Zn 0.1788 0.0000 0.5000
Zn3 Zn 0.2336 0.0000 0.0000
Cu1 Cu 0.0000 0.5000 0.2639
Cu2 Cu 0.2500 0.2500 0.2564
Ni1 Ni 0.0000 0.2394 0.5000
```

---

2.
Density functional theory data (GGA-PBE) for a geometry-optimized Nd12PdAu6 structure.

Computed properties:
Size of the total moment: 0.00 μB per cell
Raw total energy: -4.749 eV per atom
Formation enthalpy at 0 K: -0.4291 eV/atom
Crystal system: trigonal
N(E_F): 1.2112 states/eV per atom

CIF file:
```
data_Nd12PdAu6
_chemical_formula_sum 'Nd36 Pd3 Au18'
_symmetry_space_group_name_H-M 'R -3'
_symmetry_Int_Tables_number 148
_symmetry_space_group_name_Hall '-R 3'
_cell_length_a 13.1949
_cell_length_b 13.1949
_cell_length_c 12.3665
_cell_angle_alpha 90.00
_cell_angle_beta 90.00
_cell_angle_gamma 120.00
loop_
_atom_site_label
_atom_site_type_symbol
_atom_site_fract_x
_atom_site_fract_y
_atom_site_fract_z
Nd1 Nd 0.0309 0.8176 0.3946
Nd2 Nd 0.0456 0.8388 0.8856
Pd1 Pd 0.0000 0.0000 0.0000
Au1 Au 0.0484 0.7801 0.6471
```

---

3.
Density functional theory data (GGA-PBE) for a geometry-optimized CuAs structure.

Computed properties:
Size of the total moment: 0.00 μB per cell
Raw total energy: -4.243 eV per atom
Formation enthalpy at 0 K: 0.1298 eV/atom
Crystal system: orthorhombic
N(E_F): 0.2724 states/eV per atom

CIF file:
```
data_CuAs
_chemical_formula_sum 'Cu6 As6'
_symmetry_space_group_name_H-M 'I m m 2'
_symmetry_Int_Tables_number 44
_symmetry_space_group_name_Hall 'I 2 -2'
_cell_length_a 3.9497
_cell_length_b 10.7160
_cell_length_c 4.7696
_cell_angle_alpha 90.00
_cell_angle_beta 90.00
_cell_angle_gamma 90.00
loop_
_atom_site_label
_atom_site_type_symbol
_atom_site_fract_x
_atom_site_fract_y
_atom_site_fract_z
Cu1 Cu 0.0000 0.0000 0.0000
Cu2 Cu 0.0000 0.1269 0.4670
As1 As 0.0000 0.2285 0.9828
As2 As 0.0000 0.5000 0.1630
```

---

4.
Density functional theory data (GGA-PBE) for a geometry-optimized TaTi6Al5 structure.

Computed properties:
Size of the total moment: 0.00 μB per cell
Raw total energy: -6.810 eV per atom
Formation enthalpy at 0 K: -0.3150 eV/atom
Crystal system: monoclinic
N(E_F): 0.7921 states/eV per atom

CIF file:
```
data_TaTi6Al5
_chemical_formula_sum 'Ta1 Ti6 Al5'
_symmetry_space_group_name_H-M 'P 1 2/m 1'
_symmetry_Int_Tables_number 10
_symmetry_space_group_name_Hall '-P 2y'
_cell_length_a 4.5326
_cell_length_b 6.3556
_cell_length_c 7.1923
_cell_angle_alpha 90.00
_cell_angle_beta 108.16
_cell_angle_gamma 90.00
loop_
_atom_site_label
_atom_site_type_symbol
_atom_site_fract_x
_atom_site_fract_y
_atom_site_fract_z
Ta1 Ta 0.0000 0.0000 0.0000
Ti1 Ti 0.1671 0.2415 0.3376
Ti2 Ti 0.5000 0.2647 0.0000
Al1 Al 0.0000 0.5000 0.0000
Al2 Al 0.3312 0.5000 0.6585
Al3 Al 0.3487 0.0000 0.6941
```

---

5.
Density functional theory data (GGA-PBE) for a geometry-optimized CeCrSe2 structure.

Computed properties:
Size of the total moment: 13.50 μB per cell
Raw total energy: -6.136 eV per atom
ΔE_f (raw): -0.50 eV per atom
Crystal system: trigonal
N(E_F): 1.6941 states/eV per atom

CIF file:
```
data_CeCrSe2
_chemical_formula_sum 'Ce3 Cr3 Se6'
_symmetry_space_group_name_H-M 'R -3 m'
_symmetry_Int_Tables_number 166
_symmetry_space_group_name_Hall '-R 3 2"'
_cell_length_a 3.7232
_cell_length_b 3.7232
_cell_length_c 25.6534
_cell_angle_alpha 90.00
_cell_angle_beta 90.00
_cell_angle_gamma 120.00
loop_
_atom_site_label
_atom_site_type_symbol
_atom_site_fract_x
_atom_site_fract_y
_atom_site_fract_z
Ce1 Ce 0.0000 0.0000 0.0000
Cr1 Cr 0.0000 0.0000 0.5000
Se1 Se 0.0000 0.0000 0.1130
```

---

6.
Density functional theory data (GGA-PBE) for a geometry-optimized K2TePb2S2 structure.

Computed properties:
Size of the total moment: 0.00 μB per cell
Raw total energy: -3.679 eV per atom
ΔE_f (raw): -0.68 eV per atom
Crystal system: monoclinic

CIF file:
```
data_K2TePb2S2
_chemical_formula_sum 'K4 Te2 Pb4 S4'
_symmetry_space_group_name_H-M 'C 1 2/m 1'
_symmetry_Int_Tables_number 12
_symmetry_space_group_name_Hall '-C 2y'
_cell_length_a 14.7703
_cell_length_b 4.5134
_cell_length_c 8.6701
_cell_angle_alpha 90.00
_cell_angle_beta 114.09
_cell_angle_gamma 90.00
loop_
_atom_site_label
_atom_site_type_symbol
_atom_site_fract_x
_atom_site_fract_y
_atom_site_fract_z
K1 K 0.0277 0.0000 0.2218
Te1 Te 0.0000 0.5000 0.5000
Pb1 Pb 0.2158 0.5000 0.7971
S1 S 0.1480 0.5000 0.0411
```

---

7.
Density functional theory data (GGA-PBE) for a geometry-optimized Al2HRuRh structure.

Computed properties:
Size of the total moment: 0.00 μB per cell
Raw total energy: -6.046 eV per atom
Crystal system: tetragonal
N(E_F): 0.3446 states/eV per atom

CIF file:
```
data_Al2HRuRh
_chemical_formula_sum 'Al2 H1 Ru1 Rh1'
_symmetry_space_group_name_H-M 'P 4/m m m'
_symmetry_Int_Tables_number 123
_symmetry_space_group_name_Hall '-P 4 2'
_cell_length_a 4.2158
_cell_length_b 4.2158
_cell_length_c 3.2647
_cell_angle_alpha 90.00
_cell_angle_beta 90.00
_cell_angle_gamma 90.00
loop_
_atom_site_label
_atom_site_type_symbol
_atom_site_fract_x
_atom_site_fract_y
_atom_site_fract_z
Al1 Al 0.0000 0.5000 0.0000
H1 H 0.0000 0.0000 0.0000
Ru1 Ru 0.0000 0.0000 0.5000
Rh1 Rh 0.5000 0.5000 0.5000
```

---

8.
Density functional theory data (GGA-PBE) for a geometry-optimized CuNi2Pd2 structure.

Computed properties:
Size of the total moment: 2.98 μB per cell
Energy above the most stable polymorph in this dataset: 203 meV per atom
Raw total energy: -4.961 eV per atom
Formation enthalpy at 0 K: 0.2480 eV/atom
Crystal system: tetragonal
N(E_F): 1.8153 states/eV per atom

CIF file:
```
data_CuNi2Pd2
_chemical_formula_sum 'Cu2 Ni4 Pd4'
_symmetry_space_group_name_H-M 'P 4/m b m'
_symmetry_Int_Tables_number 127
_symmetry_space_group_name_Hall '-P 4 2ab'
_cell_length_a 7.1749
_cell_length_b 7.1749
_cell_length_c 2.7312
_cell_angle_alpha 90.00
_cell_angle_beta 90.00
_cell_angle_gamma 90.00
loop_
_atom_site_label
_atom_site_type_symbol
_atom_site_fract_x
_atom_site_fract_y
_atom_site_fract_z
Cu1 Cu 0.0000 0.0000 0.0000
Ni1 Ni 0.1599 0.3401 0.5000
Pd1 Pd 0.1386 0.6386 0.0000
```